No. 1
Fe2Co5 at its PBEsol-relaxed geometry. Source: Alexandria via LeMat-Bulk, functional SCAN. Values from VASP.

Geometry as Quantum ESPRESSO input:
```
&SYSTEM
  ibrav = 0, nat = 7, ntyp = 2
/
ATOMIC_SPECIES
Fe 55.84 Fe.upf
Co 58.93 Co.upf
ATOMIC_POSITIONS crystal
Fe 0.928 0.928 0.856
Co 0.785 0.785 0.571
Co 0.643 0.643 0.287
Co 0.500 0.500 0.000
Co 0.357 0.357 0.713
Co 0.215 0.215 0.429
Fe 0.072 0.072 0.144
CELL_PARAMETERS angstrom
2.411 -0.002 0.000
-0.812 2.270 0.000
-0.799 -1.134 13.700
```

Values from the calculation:
Size of the total moment = 14.77 μB/cell
SG = Fmmm
DFT formation energy = -0.08 eV per atom
Offset from the most stable computed form = 0.041 eV per atom

=====

No. 2
Fe5Co3 at its PBEsol-relaxed geometry. Source: Alexandria via LeMat-Bulk, functional SCAN. Values from VASP.

Geometry as Quantum ESPRESSO input:
```
&SYSTEM
  ibrav = 0, nat = 8, ntyp = 2
/
ATOMIC_SPECIES
Fe 55.84 Fe.upf
Co 58.93 Co.upf
ATOMIC_POSITIONS crystal
Fe 0.500 0.500 0.877
Co 0.500 0.500 0.125
Fe 0.500 0.500 0.375
Co 0.000 0.000 0.500
Fe 0.500 0.500 0.624
Fe 0.000 0.000 0.750
Fe 0.000 0.000 0.249
Co 0.000 0.000 0.001
CELL_PARAMETERS angstrom
2.416 -0.002 0.000
-0.822 2.272 0.000
0.000 0.000 15.819
```

Values from the calculation:
Size of the total moment = 18.65 μB/cell
SG = Cmm2
DFT formation energy = -0.09 eV per atom
Offset from the most stable computed form = 0.115 eV per atom

=====

No. 3
Fe7Co at its PBEsol-relaxed geometry. Source: Alexandria via LeMat-Bulk, functional SCAN. Values from VASP.

Geometry as Quantum ESPRESSO input:
```
&SYSTEM
  ibrav = 0, nat = 8, ntyp = 2
/
ATOMIC_SPECIES
Fe 55.84 Fe.upf
Co 58.93 Co.upf
ATOMIC_POSITIONS crystal
Fe 0.375 0.375 0.875
Co 0.000 0.000 0.000
Fe 0.875 0.875 0.374
Fe 0.125 0.125 0.626
Fe 0.250 0.250 0.250
Fe 0.750 0.750 0.750
Fe 0.625 0.625 0.125
Fe 0.500 0.500 0.500
CELL_PARAMETERS angstrom
-2.589 -2.942 -0.466
0.317 -3.272 2.184
-4.560 0.564 5.071
```

Values from the calculation:
Size of the total moment = 19.52 μB/cell
SG = R-3m
DFT formation energy = -0.07 eV per atom
Offset from the most stable computed form = 0.004 eV per atom

=====

No. 4
FeCo7 at its PBEsol-relaxed geometry. Source: Alexandria via LeMat-Bulk, functional SCAN. Values from VASP.

Geometry as Quantum ESPRESSO input:
```
&SYSTEM
  ibrav = 0, nat = 8, ntyp = 2
/
ATOMIC_SPECIES
Co 58.93 Co.upf
Fe 55.84 Fe.upf
ATOMIC_POSITIONS crystal
Co 0.500 0.500 0.751
Fe 0.500 0.500 0.500
Co 0.000 0.000 0.630
Co 0.000 0.000 0.370
Co 0.000 0.000 0.124
Co 0.500 0.500 0.000
Co 0.000 0.000 0.876
Co 0.500 0.500 0.249
CELL_PARAMETERS angstrom
2.449 0.000 0.000
0.000 2.449 0.000
0.000 0.000 13.955
```

Values from the calculation:
Size of the total moment = 15.17 μB/cell
SG = P4/mmm
DFT formation energy = 0.00 eV per atom
Offset from the most stable computed form = 0.052 eV per atom

=====

No. 5
Fe5Co3 at its PBEsol-relaxed geometry. Source: Alexandria via LeMat-Bulk, functional SCAN. Values from VASP.

Geometry as Quantum ESPRESSO input:
```
&SYSTEM
  ibrav = 0, nat = 8, ntyp = 2
/
ATOMIC_SPECIES
Fe 55.84 Fe.upf
Co 58.93 Co.upf
ATOMIC_POSITIONS crystal
Fe 0.000 0.000 0.625
Co 0.000 0.000 0.126
Co 0.500 0.500 0.000
Fe 0.500 0.500 0.249
Co 0.000 0.000 0.874
Fe 0.000 0.000 0.375
Fe 0.500 0.500 0.751
Fe 0.500 0.500 0.500
CELL_PARAMETERS angstrom
-2.103 0.469 -1.753
0.379 -2.511 -1.126
-7.160 -4.405 7.411
```

Values from the calculation:
Size of the total moment = 18.49 μB/cell
SG = P4/mmm
DFT formation energy = -0.08 eV per atom
Offset from the most stable computed form = 0.125 eV per atom

=====

No. 6
Fe17Co12 at its PBEsol-relaxed geometry. Source: Alexandria via LeMat-Bulk, functional SCAN. Values from VASP.

Geometry as Quantum ESPRESSO input:
```
&SYSTEM
  ibrav = 0, nat = 29, ntyp = 2
/
ATOMIC_SPECIES
Co 58.93 Co.upf
Fe 55.84 Fe.upf
ATOMIC_POSITIONS crystal
Co 0.817 0.626 0.626
Fe 0.359 0.359 0.359
Fe 0.000 0.000 0.000
Co 0.000 0.374 0.190
Co 0.810 0.183 0.810
Fe 0.000 0.400 0.682
Co 0.183 0.810 0.810
Fe 0.718 0.318 0.318
Fe 0.400 0.682 0.000
Co 0.000 0.190 0.374
Fe 0.600 0.282 0.600
Fe 0.000 0.682 0.400
Fe 0.000 0.000 0.641
Fe 0.282 0.600 0.600
Fe 0.318 0.318 0.718
Co 0.374 0.190 0.000
Co 0.626 0.817 0.626
Fe 0.682 0.400 0.000
Fe 0.000 0.641 0.000
Co 0.626 0.626 0.817
Fe 0.641 0.000 0.000
Co 0.190 0.000 0.374
Co 0.374 0.000 0.190
Fe 0.600 0.600 0.282
Co 0.810 0.810 0.183
Fe 0.400 0.000 0.682
Co 0.190 0.374 0.000
Fe 0.682 0.000 0.400
Fe 0.318 0.718 0.318
CELL_PARAMETERS angstrom
7.455 0.000 0.000
-2.485 7.029 0.000
-2.485 -3.515 6.087
```

Values from the calculation:
Size of the total moment = 66.88 μB/cell
SG = I-43m
DFT formation energy = -0.04 eV per atom

=====

No. 7
Fe4Co3 at its PBEsol-relaxed geometry. Source: Alexandria via LeMat-Bulk, functional SCAN. Values from VASP.

Geometry as Quantum ESPRESSO input:
```
&SYSTEM
  ibrav = 0, nat = 7, ntyp = 2
/
ATOMIC_SPECIES
Co 58.93 Co.upf
Fe 55.84 Fe.upf
ATOMIC_POSITIONS crystal
Co 0.786 0.786 0.573
Co 0.214 0.214 0.427
Fe 0.644 0.644 0.288
Fe 0.929 0.929 0.858
Fe 0.356 0.356 0.712
Co 0.500 0.500 0.000
Fe 0.071 0.071 0.142
CELL_PARAMETERS angstrom
2.781 0.000 0.000
0.000 2.781 0.000
-1.390 -1.390 9.881
```

Values from the calculation:
Size of the total moment = 16.47 μB/cell
SG = I4/mmm
DFT formation energy = -0.15 eV per atom
Offset from the most stable computed form = 0.001 eV per atom

=====

No. 8
Fe4Co5 at its PBEsol-relaxed geometry. Source: Alexandria via LeMat-Bulk, functional SCAN. Values from VASP.

Geometry as Quantum ESPRESSO input:
```
&SYSTEM
  ibrav = 0, nat = 9, ntyp = 2
/
ATOMIC_SPECIES
Fe 55.84 Fe.upf
Co 58.93 Co.upf
ATOMIC_POSITIONS crystal
Fe 0.000 0.668 0.332
Co 0.666 0.667 0.000
Co 0.334 0.000 0.333
Fe 0.668 0.332 0.332
Co 0.000 0.000 0.000
Co 0.334 0.333 0.000
Fe 0.332 0.668 0.668
Co 0.666 0.000 0.667
Fe 0.000 0.332 0.668
CELL_PARAMETERS angstrom
2.761 0.000 0.000
1.381 5.940 0.000
1.381 0.000 5.940
```

Values from the calculation:
Size of the total moment = 20.35 μB/cell
SG = I4/mmm
DFT formation energy = -0.11 eV per atom

=====

No. 9
Fe5Co3 at its PBEsol-relaxed geometry. Source: Alexandria via LeMat-Bulk, functional SCAN. Values from VASP.

Geometry as Quantum ESPRESSO input:
```
&SYSTEM
  ibrav = 0, nat = 8, ntyp = 2
/
ATOMIC_SPECIES
Co 58.93 Co.upf
Fe 55.84 Fe.upf
ATOMIC_POSITIONS crystal
Co 0.000 0.001 0.502
Fe 0.500 0.374 0.747
Fe 0.500 0.126 0.251
Fe 0.000 0.252 0.003
Co 0.500 0.623 0.247
Fe 0.000 0.750 0.003
Fe 0.500 0.873 0.747
Co 0.000 0.500 0.502
CELL_PARAMETERS angstrom
-1.809 0.239 2.102
-0.546 -5.548 0.162
4.518 2.464 3.608
```

Values from the calculation:
Size of the total moment = 18.89 μB/cell
SG = Amm2
DFT formation energy = -0.15 eV per atom
Offset from the most stable computed form = 0.058 eV per atom

=====

No. 10
Fe5Co3 at its PBEsol-relaxed geometry. Source: Alexandria via LeMat-Bulk, functional SCAN. Values from VASP.

Geometry as Quantum ESPRESSO input:
```
&SYSTEM
  ibrav = 0, nat = 8, ntyp = 2
/
ATOMIC_SPECIES
Co 58.93 Co.upf
Fe 55.84 Fe.upf
ATOMIC_POSITIONS crystal
Co 0.374 0.875 0.749
Fe 0.875 0.375 0.750
Fe 0.500 0.500 0.000
Fe 0.250 0.250 0.500
Fe 0.750 0.750 0.500
Co 0.001 0.001 0.002
Fe 0.625 0.125 0.250
Co 0.125 0.625 0.249
CELL_PARAMETERS angstrom
-0.620 -1.230 2.432
3.850 -0.257 0.855
-1.926 7.836 1.859
```

Values from the calculation:
Size of the total moment = 18.83 μB/cell
SG = Imm2
DFT formation energy = -0.17 eV per atom
Offset from the most stable computed form = 0.037 eV per atom

=====

No. 11
Fe7Co at its PBEsol-relaxed geometry. Source: Alexandria via LeMat-Bulk, functional SCAN. Values from VASP.

Geometry as Quantum ESPRESSO input:
```
&SYSTEM
  ibrav = 0, nat = 8, ntyp = 2
/
ATOMIC_SPECIES
Fe 55.84 Fe.upf
Co 58.93 Co.upf
ATOMIC_POSITIONS crystal
Fe 0.000 0.500 0.751
Fe 0.500 0.500 0.500
Co 0.000 0.000 0.000
Fe 0.000 0.500 0.249
Fe 0.000 0.000 0.500
Fe 0.500 0.000 0.751
Fe 0.500 0.000 0.249
Fe 0.500 0.500 0.000
CELL_PARAMETERS angstrom
3.952 0.000 0.000
0.000 3.952 0.000
0.000 0.000 5.575
```

Values from the calculation:
Size of the total moment = 19.49 μB/cell
SG = P4/mmm
DFT formation energy = -0.08 eV per atom
Offset from the most stable computed form = 0.002 eV per atom